(1)
This record from the Alexandria database describes crystalline ZrTeCl2 at its relaxed geometry. The functional is PBE.

Cell lengths 5.6487, 12.8791, 3.7042 Å; angles 90.00, 90.00, 90.00 degrees
Last column: nearest neighbours and their distance in Å.
Space group Cmmm (No. 65)
Symmetry-distinct sites (fractional):
Zr (0.0000, 0.0000, 0.0000) x2  4 Cl 2.57, 2 Te 2.82
Te (0.0000, 0.5000, 0.0000) x2  2 Zr 2.82
Cl (0.0000, 0.1379, 0.5000) x4  2 Zr 2.57

Results
The uncorrected formation energy is -1.242 eV per atom.


(2)
This record from the Alexandria database describes crystalline NdTlTeO4 at its relaxed geometry. The functional is PBE.

Cell lengths 5.9505, 6.0541, 7.9293 Å; angles 90.00, 106.21, 90.00 degrees
Last column: nearest neighbours and their distance in Å.
Space group P2_1/m (No. 11)
Symmetry-distinct sites (fractional):
Nd (0.1875, 0.2500, 0.4628) x2  6 O 2.38-2.49
Tl (0.0618, 0.7500, 0.1246) x2  3 O 2.62-2.72
Te (0.3896, 0.7500, 0.7634) x2  4 O 1.94-2.04
O (0.1488, 0.5067, 0.6828) x4  1 Te 2.03
O (0.2543, 0.2500, 0.1809) x2  1 Te 2.04
O (0.4066, 0.7500, 0.5224) x2  1 Te 1.94

Results
The uncorrected formation energy is -1.763 eV per atom.


(3)
This record from the Alexandria database describes crystalline Li2TbHo at its relaxed geometry. The functional is PBE.

Cell lengths 3.7071, 3.7071, 7.4124 Å; angles 90.00, 90.00, 90.00 degrees
Last column: nearest neighbours and their distance in Å.
Space group P4/mmm (No. 123)
Symmetry-distinct sites (fractional):
Li (0.0000, 0.0000, 0.2489) x2  4 Ho 3.21, 4 Tb 3.21
Tb (0.5000, 0.5000, 0.5000) x1  8 Li 3.21
Ho (0.5000, 0.5000, 0.0000) x1  8 Li 3.21


(4)
This record from the Alexandria database describes crystalline B4C at its relaxed geometry. The functional is PBE.

Cell lengths 8.6607, 2.3482, 6.8026 Å; angles 90.00, 99.64, 90.00 degrees
Last column: nearest neighbours and their distance in Å.
Space group C2/m (No. 12)
Symmetry-distinct sites (fractional):
B (0.0286, 0.0000, 0.3768) x4  1 C 1.61, 2 B 1.77
B (0.0718, 0.5000, 0.7934) x4  5 B 1.76-1.93
B (0.0984, 0.5000, 0.0553) x4  5 B 1.74-1.93
B (0.2236, 0.0000, 0.2016) x4  1 C 1.68, 3 B 1.77-1.78
C (0.2158, 0.0000, 0.4473) x4  2 C 1.45, 1 B 1.61


Number 1: calculated total energy -5.087 eV/atom. Number 2: calculated total energy -6.064 eV/atom. Number 3: calculated total energy -3.103 eV/atom. Number 4: calculated total energy -6.804 eV/atom.